First-principles (GGA-PBEsol) data for crystalline TaCrOF2 at its relaxed geometry, as listed in Alexandria via LeMat-Bulk. Values from VASP.

Geometry as Quantum ESPRESSO input:
```
&SYSTEM
  ibrav = 0, nat = 5, ntyp = 4
/
ATOMIC_SPECIES
Ta 180.95 Ta.upf
Cr 52.00 Cr.upf
O 16.00 O.upf
F 19.00 F.upf
ATOMIC_POSITIONS crystal
Ta 0.000 0.000 0.000
Cr 0.500 0.500 0.500
O 0.000 0.000 0.500
F 0.000 0.500 0.000
F 0.500 0.000 0.000
CELL_PARAMETERS angstrom
4.215 0.000 0.000
0.000 4.215 0.000
0.000 0.000 3.915
```

Values from the calculation:
E   -0.56503 Ry per atom
Crystal system   tetragonal
Symmetry   No. 123
Magnetic moment   3.94 μB/f.u.
Formation energy (no corrections)   -1.308 eV/atom
V   13.913 A^3/atom
N(E_F)   2.3 states/eV/cell